A plane-wave DFT calculation with PBEsol was carried out for an optimized crystal structure of CaTa2Os.

Structure (extended XYZ):
```
4
Lattice="4.729 0.000 0.000 0.000 4.729 0.000 0.000 0.000 3.119" Properties=species:S:1:pos:R:3 pbc="T T T"
Ca 0.000 0.000 0.000
Ta 0.000 2.364 1.560
Ta 2.364 0.000 1.560
Os 2.364 2.364 0.000
```

Summary:
The value obtained for the energy above the lowest structure with this stoichiometry is 0.0 meV per atom. The volume comes out at 17.4 Å³/atom. As for the crystal system: tetragonal. Its space group is P4/mmm (123). The calculation puts the formation energy at 0.6021 eV/atom.


A plane-wave DFT calculation with PBEsol was carried out for an optimized crystal structure of BeNb2TlHg.

Structure (extended XYZ):
```
5
Lattice="5.162 0.000 0.000 0.000 5.162 0.000 0.000 0.000 5.076" Properties=species:S:1:pos:R:3 pbc="T T T"
Be 0.000 0.000 0.000
Nb 0.000 2.581 2.538
Nb 2.581 0.000 2.538
Tl 2.581 2.581 2.538
Hg 2.581 2.581 0.000
```

Summary:
The volume comes out at 27.1 Å³/atom. As for the crystal system: tetragonal. Its space group is P4/mmm (123). The calculation puts the formation energy at 2.2718 eV/atom.


volume of number 2 (BeNb2TlHg)? 27.1 Å³/atom


Which of these has the highest volume? BeNb2TlHg


What did the second record say?
A plane-wave DFT calculation with PBEsol was carried out for an optimized crystal structure of BeNb2TlHg.

Structure (extended XYZ):
```
5
Lattice="5.162 0.000 0.000 0.000 5.162 0.000 0.000 0.000 5.076" Properties=species:S:1:pos:R:3 pbc="T T T"
Be 0.000 0.000 0.000
Nb 0.000 2.581 2.538
Nb 2.581 0.000 2.538
Tl 2.581 2.581 2.538
Hg 2.581 2.581 0.000
```

Summary:
The volume comes out at 27.1 Å³/atom. As for the crystal system: tetragonal. Its space group is P4/mmm (123). The calculation puts the formation energy at 2.2718 eV/atom.